This record from Alexandria describes a relaxed DyHS2 crystal. The functional is PBE-GGA.

Its crystal system is monoclinic. As for the distance to the lowest polymorph of the same formula: 0.21 eV per formula unit.

```
8
Lattice="3.8749 -3.8302 0.0000 3.8749 3.8302 0.0000 -3.7552 0.0000 6.0578" Properties=species:S:1:pos:R:3 pbc="T T T"
Dy 1.9974 2.8122 3.0289
Dy 3.8749 -2.8122 0.0000
H 4.7270 1.8120 0.0177
H 2.8494 -1.8120 3.0466
S -0.0846 1.0407 2.9781
S -1.9622 -1.0407 6.0070
S 3.9360 0.9823 3.4359
S 5.8136 -0.9823 0.4070
```